# 1
YCr2Pt | GGA-PBEsol | optimized geometry

abc: 4.6024 4.6024 4.6024
angles: 60.00 60.00 60.00
With the nearest neighbours (Å) after each atom.
Sites, in units of the cell vectors:
1 Cr 0.7500 0.7500 0.7500  4 Pt 2.82, 4 Y 2.82
2 Cr 0.2500 0.2500 0.2500  4 Y 2.82, 4 Pt 2.82
3 Pt 0.0000 0.0000 0.0000  8 Cr 2.82
4 Y 0.5000 0.5000 0.5000  8 Cr 2.82

Values from the calculation:
Crystal system: cubic
Polymorph energy (0 for the lowest one) in meV per atom: 280
Calculated formation energy in meV per atom: 274.6
Electronic total energy in eV per cell: -33.171

# 2
CeI4O12 | GGA-PBEsol | optimized geometry

abc: 5.2749 9.8076 9.8076
angles: 90.00 90.00 90.00
With the nearest neighbours (Å) after each atom.
Sites, in units of the cell vectors:
1 Ce 0.0000 0.0000 0.0000  8 O 2.34-2.35
2 Ce 0.5000 0.5000 0.5000  8 O 2.34-2.35
3 I 0.5359 0.0006 0.2769  3 O 1.81-1.86
4 I 0.0359 0.7769 0.4994  3 O 1.81-1.86
5 I 0.0359 0.2231 0.5006  3 O 1.81-1.86
6 I 0.5359 0.9994 0.7231  3 O 1.81-1.86
7 I 0.9641 0.4994 0.2231  3 O 1.81-1.86
8 I 0.4641 0.7231 0.0006  3 O 1.81-1.86
9 I 0.4641 0.2769 0.9994  3 O 1.81-1.86
10 I 0.9641 0.5006 0.7769  3 O 1.81-1.86
11 O 0.3111 0.0761 0.1515  1 I 1.86
12 O 0.8111 0.6515 0.4239  1 I 1.86
13 O 0.8111 0.3485 0.5761  1 I 1.86
14 O 0.3111 0.9239 0.8485  1 I 1.86
15 O 0.1889 0.4239 0.3485  1 I 1.86
16 O 0.6889 0.8485 0.0761  1 I 1.86
17 O 0.6889 0.1515 0.9239  1 I 1.86
18 O 0.1889 0.5761 0.6515  1 I 1.86
19 O 0.8054 0.0875 0.1969  1 I 1.83
20 O 0.3054 0.6969 0.4125  1 I 1.83
21 O 0.0147 0.6232 0.9125  1 I 1.81
22 O 0.5147 0.4125 0.8768  1 I 1.81
23 O 0.5147 0.5875 0.1232  1 I 1.81
24 O 0.0147 0.3768 0.0875  1 I 1.81
25 O 0.4853 0.8768 0.5875  1 I 1.81
26 O 0.9853 0.0875 0.6232  1 I 1.81
27 O 0.9853 0.9125 0.3768  1 I 1.81
28 O 0.4853 0.1232 0.4125  1 I 1.81
29 O 0.6946 0.5875 0.6969  1 I 1.83
30 O 0.1946 0.1969 0.9125  1 I 1.83
31 O 0.1946 0.8031 0.0875  1 I 1.83
32 O 0.6946 0.4125 0.3031  1 I 1.83
33 O 0.8054 0.9125 0.8031  1 I 1.83
34 O 0.3054 0.3031 0.5875  1 I 1.83

Values from the calculation:
Crystal system: tetragonal
Electronic total energy in eV per cell: -182.689
Uncorrected formation energy in eV per atom: -0.864